(1)
VASP calculation (PBE) on a geometry-optimized ScBeMo2 structure.

Lattice parameters (Å, degrees): 2.710 2.710 8.377 90.00 90.00 90.00
Fractional coordinates of all 4 atoms:
Sc1 0.000 0.000 0.000
Be1 0.500 0.500 0.237
Mo1 0.000 0.000 0.437
Mo2 0.500 0.500 0.715

Results
Total DFT energy (no corrections), eV/cell: -30.88

=====

(2)
VASP calculation (PBE) on a geometry-optimized SrScFe2 structure.

Lattice parameters (Å, degrees): 3.302 3.302 8.015 90.00 90.00 90.00
Fractional coordinates of all 4 atoms:
Sr1 0.000 0.000 0.000
Sc1 0.500 0.500 0.607
Fe1 0.000 0.000 0.402
Fe2 0.500 0.500 0.287

Results
Total DFT energy (no corrections), eV/cell: -23.75

=====

(3)
VASP calculation (PBE) on a geometry-optimized U3P3H structure.

Lattice parameters (Å, degrees): 5.565 5.565 5.565 109.77 109.77 109.77
Fractional coordinates of all 7 atoms:
U1 0.054 0.473 0.473
U2 0.473 0.054 0.473
U3 0.473 0.473 0.054
P1 0.565 0.971 0.971
P2 0.971 0.565 0.971
P3 0.971 0.971 0.565
H1 0.279 0.279 0.279

Results
Total DFT energy (no corrections), eV/cell: -56.67

=====

(4)
VASP calculation (PBE) on a geometry-optimized ScAlTc2 structure.

Lattice parameters (Å, degrees): 4.446 4.446 4.446 60.00 60.00 60.00
Fractional coordinates of all 4 atoms:
Sc1 0.000 0.000 0.000
Al1 0.500 0.500 0.500
Tc1 0.250 0.250 0.250
Tc2 0.750 0.750 0.750

Results
E above lowest polymorph, meV per atom: 161

=====

(5)
VASP calculation (PBE) on a geometry-optimized CaTmAgAu structure.

Lattice parameters (Å, degrees): 3.615 3.615 7.315 90.00 90.00 90.00
Fractional coordinates of all 4 atoms:
Ca1 0.000 0.000 0.000
Tm1 0.000 0.000 0.486
Ag1 0.500 0.500 0.722
Au1 0.500 0.500 0.274

Results
E above lowest polymorph, meV per atom: 0

=====

(6)
VASP calculation (PBE) on a geometry-optimized SrTi4Se8 structure.

Lattice parameters (Å, degrees): 8.615 8.615 8.615 49.32 49.32 49.32
Fractional coordinates of all 13 atoms:
Sr1 0.000 0.000 0.000
Ti1 0.000 0.000 0.500
Ti2 0.000 0.500 0.000
Ti3 0.500 0.000 0.000
Ti4 0.500 0.500 0.500
Se1 0.234 0.234 0.234
Se2 0.240 0.732 0.732
Se3 0.268 0.268 0.760
Se4 0.268 0.760 0.268
Se5 0.732 0.240 0.732
Se6 0.732 0.732 0.240
Se7 0.760 0.268 0.268
Se8 0.766 0.766 0.766

Results
Formation energy (no corrections), eV/atom: -1.2904
E above lowest polymorph, meV per atom: 0

=====

(7)
VASP calculation (PBE) on a geometry-optimized PmGa3Ru2 structure.

Lattice parameters (Å, degrees): 6.162 6.162 5.817 90.00 90.00 79.53
Fractional coordinates of all 12 atoms:
Pm1 0.148 0.852 0.750
Pm2 0.852 0.148 0.250
Ga1 0.046 0.600 0.250
Ga2 0.400 0.954 0.250
Ga3 0.473 0.527 0.250
Ga4 0.527 0.473 0.750
Ga5 0.600 0.046 0.750
Ga6 0.954 0.400 0.750
Ru1 0.284 0.284 0.000
Ru2 0.284 0.284 0.500
Ru3 0.716 0.716 0.000
Ru4 0.716 0.716 0.500

Results
E above lowest polymorph, meV per atom: 0

=====

(8)
VASP calculation (PBE) on a geometry-optimized GaPdS6 structure.

Lattice parameters (Å, degrees): 3.608 6.933 7.724 86.84 79.63 86.99
Fractional coordinates of all 8 atoms:
Ga1 0.000 0.000 0.000
Pd1 0.500 0.500 0.000
S1 0.163 0.841 0.699
S2 0.438 0.362 0.285
S3 0.465 0.800 0.129
S4 0.535 0.200 0.871
S5 0.562 0.638 0.715
S6 0.837 0.159 0.301

Results
Formation energy (no corrections), eV/atom: -0.0902

=====

(9)
VASP calculation (PBE) on a geometry-optimized Rb4Ag3AsBr12 structure.

Lattice parameters (Å, degrees): 9.478 9.478 9.478 109.47 109.47 109.47
Fractional coordinates of all 20 atoms:
Rb1 0.000 0.000 0.500
Rb2 0.000 0.500 0.000
Rb3 0.500 0.000 0.000
Rb4 0.500 0.500 0.500
Ag1 0.000 0.500 0.500
Ag2 0.500 0.000 0.500
Ag3 0.500 0.500 0.000
As1 0.000 0.000 0.000
Br1 0.000 0.241 0.241
Br2 0.000 0.759 0.759
Br3 0.241 0.000 0.241
Br4 0.241 0.241 0.000
Br5 0.250 0.500 0.750
Br6 0.250 0.750 0.500
Br7 0.500 0.250 0.750
Br8 0.500 0.750 0.250
Br9 0.750 0.250 0.500
Br10 0.750 0.500 0.250
Br11 0.759 0.000 0.759
Br12 0.759 0.759 0.000

Results
Formation energy (no corrections), eV/atom: -0.9092

=====

(10)
VASP calculation (PBE) on a geometry-optimized Ac4Pm5Cd structure.

Lattice parameters (Å, degrees): 3.844 3.844 24.924 90.00 90.00 90.00
Fractional coordinates of all 10 atoms:
Ac1 0.000 0.000 0.106
Ac2 0.000 0.000 0.318
Ac3 0.000 0.000 0.682
Ac4 0.000 0.000 0.894
Pm1 0.500 0.500 0.000
Pm2 0.500 0.500 0.212
Pm3 0.500 0.500 0.423
Pm4 0.500 0.500 0.577
Pm5 0.500 0.500 0.788
Cd1 0.000 0.000 0.500

Results
Total DFT energy (no corrections), eV/cell: -41.50

=====

(11)
VASP calculation (PBE) on a geometry-optimized Ac3Nd2Ho2 structure.

Lattice parameters (Å, degrees): 12.908 12.908 3.741 90.00 90.00 154.70
Fractional coordinates of all 7 atoms:
Ac1 0.000 0.000 0.000
Ac2 0.154 0.846 0.000
Ac3 0.846 0.154 0.000
Nd1 0.426 0.574 0.500
Nd2 0.574 0.426 0.500
Ho1 0.285 0.715 0.500
Ho2 0.715 0.285 0.500

Results
Total DFT energy (no corrections), eV/cell: -30.63

=====

(12)
VASP calculation (PBE) on a geometry-optimized DyMgPtPb structure.

Lattice parameters (Å, degrees): 5.003 5.003 5.003 60.00 60.00 60.00
Fractional coordinates of all 4 atoms:
Dy1 0.000 0.000 0.000
Mg1 0.500 0.500 0.500
Pt1 0.750 0.750 0.750
Pb1 0.250 0.250 0.250

Results
Total DFT energy (no corrections), eV/cell: -18.28

=====

(13)
VASP calculation (PBE) on a geometry-optimized Tm12RePb6 structure.

Lattice parameters (Å, degrees): 8.561 8.561 8.561 99.55 99.55 99.55
Fractional coordinates of all 19 atoms:
Tm1 0.008 0.686 0.948
Tm2 0.052 0.992 0.314
Tm3 0.203 0.417 0.547
Tm4 0.314 0.052 0.992
Tm5 0.417 0.547 0.203
Tm6 0.453 0.797 0.583
Tm7 0.547 0.203 0.417
Tm8 0.583 0.453 0.797
Tm9 0.686 0.948 0.008
Tm10 0.797 0.583 0.453
Tm11 0.948 0.008 0.686
Tm12 0.992 0.314 0.052
Re1 0.000 0.000 0.000
Pb1 0.120 0.650 0.322
Pb2 0.322 0.120 0.650
Pb3 0.350 0.678 0.880
Pb4 0.650 0.322 0.120
Pb5 0.678 0.880 0.350
Pb6 0.880 0.350 0.678

Results
Total DFT energy (no corrections), eV/cell: -91.00

=====

(14)
VASP calculation (PBE) on a geometry-optimized CaTmSn2 structure.

Lattice parameters (Å, degrees): 3.943 3.943 7.133 90.00 90.00 90.00
Fractional coordinates of all 4 atoms:
Ca1 0.000 0.000 0.000
Tm1 0.000 0.000 0.500
Sn1 0.500 0.500 0.272
Sn2 0.500 0.500 0.728

Results
Total DFT energy (no corrections), eV/cell: -16.70

=====

(15)
VASP calculation (PBE) on a geometry-optimized Sr9Zn3Cu2O14 structure.

Lattice parameters (Å, degrees): 11.393 11.393 11.431 97.16 97.16 18.46
Fractional coordinates of all 28 atoms:
Sr1 0.000 0.000 0.000
Sr2 0.001 0.001 0.361
Sr3 0.004 0.004 0.672
Sr4 0.188 0.188 0.758
Sr5 0.193 0.193 0.070
Sr6 0.202 0.202 0.381
Sr7 0.356 0.356 0.507
Sr8 0.380 0.380 0.798
Sr9 0.388 0.388 0.152
Zn1 0.584 0.584 0.864
Zn2 0.592 0.592 0.535
Zn3 0.805 0.805 0.278
Cu1 0.585 0.585 0.197
Cu2 0.802 0.802 0.953
O1 0.101 0.101 0.931
O2 0.112 0.112 0.477
O3 0.282 0.282 0.663
O4 0.285 0.285 0.209
O5 0.493 0.493 0.845
O6 0.500 0.500 0.511
O7 0.503 0.503 0.173
O8 0.614 0.614 0.709
O9 0.665 0.665 0.216
O10 0.722 0.722 0.924
O11 0.776 0.776 0.431
O12 0.884 0.884 0.978
O13 0.894 0.894 0.298
O14 0.896 0.896 0.656

Results
Formation energy (no corrections), eV/atom: -2.0716

=====

(16)
VASP calculation (PBE) on a geometry-optimized SrTbReO6 structure.

Lattice parameters (Å, degrees): 5.592 5.592 5.222 90.00 90.00 120.00
Fractional coordinates of all 9 atoms:
Sr1 0.000 0.000 0.000
Tb1 0.333 0.667 0.500
Re1 0.667 0.333 0.500
O1 0.392 0.047 0.707
O2 0.392 0.345 0.293
O3 0.655 0.047 0.293
O4 0.655 0.608 0.707
O5 0.953 0.345 0.707
O6 0.953 0.608 0.293

Results
Formation energy (no corrections), eV/atom: -2.4838

=====

(17)
VASP calculation (PBE) on a geometry-optimized Mg4Ag2Hg3 structure.

Lattice parameters (Å, degrees): 4.827 4.827 9.015 90.03 90.03 59.96
Fractional coordinates of all 9 atoms:
Mg1 0.000 0.000 0.180
Mg2 0.000 0.000 0.820
Mg3 0.334 0.334 0.605
Mg4 0.666 0.666 0.395
Ag1 0.333 0.333 0.278
Ag2 0.667 0.667 0.722
Hg1 0.000 0.000 0.500
Hg2 0.334 0.334 0.928
Hg3 0.666 0.666 0.072

Results
Total DFT energy (no corrections), eV/cell: -14.55